[1]
PBE Hf2VCr, optimized geometry; excess energy over the best structure of this formula in the dataset = 563 meV per atom; VASP energy = -0.3285 hartree per atom; space-group type = No. 122
1.0
7.173 0.000 0.000
0.000 7.173 0.000
0.000 0.000 5.687
Hf V Cr
8 4 4
Cartesian
1.716 5.380 0.711
1.793 1.716 4.976
1.793 1.870 2.132
1.870 5.380 3.554
5.303 1.793 3.554
5.380 5.303 2.132
5.380 5.457 4.976
5.457 1.793 0.711
0.000 0.000 2.843
0.000 3.587 4.265
3.587 0.000 1.422
3.587 3.587 0.000
0.000 0.000 0.000
0.000 3.587 1.422
3.587 0.000 4.265
3.587 3.587 2.843

=====

[2]
PBE Hf2VCr, optimized geometry; excess energy over the best structure of this formula in the dataset = 0 meV per atom; VASP energy = -0.3492 hartree per atom; space-group type = No. 225
1.0
6.549 0.000 0.000
0.000 6.549 0.000
0.000 0.000 6.549
Hf V Cr
8 4 4
Cartesian
1.637 1.637 1.637
1.637 1.637 4.912
1.637 4.912 1.637
1.637 4.912 4.912
4.912 1.637 1.637
4.912 1.637 4.912
4.912 4.912 1.637
4.912 4.912 4.912
0.000 0.000 0.000
0.000 3.274 3.274
3.274 0.000 3.274
3.274 3.274 0.000
0.000 0.000 3.274
0.000 3.274 0.000
3.274 0.000 0.000
3.274 3.274 3.274

=====

[3]
PBE HfV2Cr2, optimized geometry; excess energy over the best structure of this formula in the dataset = 80 meV per atom; VASP energy = -0.3352 hartree per atom; space-group type = No. 139
1.0
-1.889 1.889 10.634
1.889 -1.889 10.634
1.889 1.889 -10.634
Hf V Cr
2 4 4
Cartesian
0.000 0.000 2.650
0.000 0.000 18.618
1.889 0.000 0.000
0.000 0.000 6.770
0.000 1.889 0.000
0.000 0.000 14.498
1.889 0.000 5.317
0.000 0.000 9.165
0.000 0.000 12.103
0.000 1.889 5.317

=====

[4]
PBE HfVCr2, optimized geometry; excess energy over the best structure of this formula in the dataset = 0 meV per atom; VASP energy = -0.3485 hartree per atom; space-group type = No. 123
1.0
3.066 0.000 0.000
0.000 3.066 0.000
0.000 0.000 6.273
Hf V Cr
1 1 2
Cartesian
0.000 0.000 0.000
0.000 0.000 3.136
1.533 1.533 1.759
1.533 1.533 4.514

=====

[5]
PBE HfV2Cr2, optimized geometry; excess energy over the best structure of this formula in the dataset = 45 meV per atom; VASP energy = -0.3365 hartree per atom; space-group type = No. 139
1.0
3.877 0.000 0.000
0.000 3.877 0.000
0.000 0.000 10.110
Hf V Cr
2 4 4
Cartesian
0.000 0.000 0.000
1.938 1.938 5.055
0.000 1.938 2.528
0.000 1.938 7.583
1.938 0.000 2.528
1.938 0.000 7.583
0.000 0.000 3.946
0.000 0.000 6.164
1.938 1.938 1.109
1.938 1.938 9.001

=====

[6]
PBE Hf2VCr, optimized geometry; excess energy over the best structure of this formula in the dataset = 1 meV per atom; VASP energy = -0.3492 hartree per atom; space-group type = No. 123
1.0
3.269 0.000 0.000
0.000 3.269 0.000
0.000 0.000 6.591
Hf V Cr
2 1 1
Cartesian
0.000 0.000 1.614
0.000 0.000 4.977
1.635 1.635 3.295
1.635 1.635 0.000

=====

[7]
PBE HfVCr2, optimized geometry; excess energy over the best structure of this formula in the dataset = 42 meV per atom; VASP energy = -0.3469 hartree per atom; space-group type = No. 225
1.0
6.161 0.000 0.000
0.000 6.161 0.000
0.000 0.000 6.161
Hf V Cr
4 4 8
Cartesian
0.000 0.000 0.000
0.000 3.080 3.080
3.080 0.000 3.080
3.080 3.080 0.000
0.000 0.000 3.080
0.000 3.080 0.000
3.080 0.000 0.000
3.080 3.080 3.080
1.540 1.540 1.540
1.540 1.540 4.621
1.540 4.621 1.540
1.540 4.621 4.621
4.621 1.540 1.540
4.621 1.540 4.621
4.621 4.621 1.540
4.621 4.621 4.621

=====

[8]
PBE HfV4Cr, optimized geometry; VASP energy = -0.3384 hartree per atom; space-group type = No. 216
1.0
0.000 3.546 3.546
3.546 0.000 3.546
3.546 3.546 0.000
Hf V Cr
1 4 1
Cartesian
0.000 0.000 0.000
4.435 2.657 2.657
2.657 4.435 2.657
2.657 2.657 4.435
4.435 4.435 4.435
1.773 1.773 1.773

=====

[9]
PBE HfV2Cr2, optimized geometry; excess energy over the best structure of this formula in the dataset = 0 meV per atom; VASP energy = -0.3382 hartree per atom; space-group type = No. 127
1.0
7.166 0.000 0.000
0.000 7.166 0.000
0.000 0.000 2.940
Hf V Cr
2 4 4
Cartesian
0.000 0.000 0.000
3.583 3.583 0.000
1.033 2.550 1.470
2.550 6.133 1.470
4.615 1.033 1.470
6.133 4.615 1.470
0.970 4.553 0.000
2.613 0.970 0.000
4.553 6.196 0.000
6.196 2.613 0.000

=====

[10]
PBE Hf2VCr, optimized geometry; excess energy over the best structure of this formula in the dataset = 479 meV per atom; VASP energy = -0.3316 hartree per atom; space-group type = No. 166
1.0
2.979 0.000 0.000
-1.489 2.580 0.000
0.000 0.000 28.899
Hf V Cr
6 3 3
Cartesian
0.000 0.000 2.625
0.000 0.000 26.273
0.000 1.720 16.640
0.000 1.720 21.891
1.489 0.860 7.008
1.489 0.860 12.258
0.000 0.000 0.000
0.000 1.720 19.266
1.489 0.860 9.633
0.000 0.000 14.449
0.000 1.720 4.816
1.489 0.860 24.082

=====

[11]
PBE HfVCr3, optimized geometry; excess energy over the best structure of this formula in the dataset = 0 meV per atom; VASP energy = -0.3216 hartree per atom; space-group type = No. 221
1.0
4.306 0.000 0.000
0.000 4.306 0.000
0.000 0.000 4.306
Hf V Cr
1 1 3
Cartesian
0.000 0.000 0.000
2.153 2.153 2.153
0.000 2.153 2.153
2.153 0.000 2.153
2.153 2.153 0.000

=====

[12]
PBE Hf2V2Cr, optimized geometry; VASP energy = -0.3444 hartree per atom; space-group type = No. 127
1.0
6.054 0.000 0.000
0.000 6.054 0.000
0.000 0.000 4.656
Hf V Cr
4 4 2
Cartesian
1.023 2.004 0.000
2.004 5.031 0.000
4.050 1.023 0.000
5.031 4.050 0.000
0.900 3.927 2.328
2.127 0.900 2.328
3.927 5.154 2.328
5.154 2.127 2.328
0.000 0.000 2.328
3.027 3.027 2.328

=====

[13]
PBE HfVCr2, optimized geometry; excess energy over the best structure of this formula in the dataset = 870 meV per atom; VASP energy = -0.3165 hartree per atom; space-group type = No. 141
1.0
4.257 0.000 0.000
0.000 4.257 0.000
0.000 0.000 15.873
Hf V Cr
4 4 8
Cartesian
0.000 1.064 5.952
0.000 3.193 9.921
2.128 1.064 1.984
2.128 3.193 13.889
0.000 1.064 13.889
0.000 3.193 1.984
2.128 1.064 9.921
2.128 3.193 5.952
0.000 0.000 0.000
0.000 2.128 0.000
1.064 1.064 11.905
1.064 3.193 3.968
2.128 0.000 7.936
2.128 2.128 7.936
3.193 1.064 11.905
3.193 3.193 3.968

=====

[14]
PBE HfCr4W, optimized geometry; VASP energy = -0.3779 hartree per atom; space-group type = No. 216
1.0
0.000 3.472 3.472
3.472 0.000 3.472
3.472 3.472 0.000
Hf Cr W
1 4 1
Cartesian
0.000 0.000 0.000
4.336 2.608 2.608
2.608 4.336 2.608
2.608 2.608 4.336
4.336 4.336 4.336
1.736 1.736 1.736

=====

[15]
PBE HfCr2W, optimized geometry; excess energy over the best structure of this formula in the dataset = 9 meV per atom; VASP energy = -0.3843 hartree per atom; space-group type = No. 225
1.0
6.204 0.000 0.000
0.000 6.204 0.000
0.000 0.000 6.204
Hf Cr W
4 8 4
Cartesian
0.000 0.000 0.000
0.000 3.102 3.102
3.102 0.000 3.102
3.102 3.102 0.000
1.551 1.551 1.551
1.551 1.551 4.653
1.551 4.653 1.551
1.551 4.653 4.653
4.653 1.551 1.551
4.653 1.551 4.653
4.653 4.653 1.551
4.653 4.653 4.653
0.000 0.000 3.102
0.000 3.102 0.000
3.102 0.000 0.000
3.102 3.102 3.102

=====

[16]
PBE HfCr2W, optimized geometry; excess energy over the best structure of this formula in the dataset = 0 meV per atom; VASP energy = -0.3846 hartree per atom; space-group type = No. 123
1.0
3.087 0.000 0.000
0.000 3.087 0.000
0.000 0.000 6.318
Hf Cr W
1 2 1
Cartesian
0.000 0.000 0.000
1.543 1.543 1.699
1.543 1.543 4.618
0.000 0.000 3.159

=====

[17]
PBE HfCrW3, optimized geometry; excess energy over the best structure of this formula in the dataset = 1480 meV per atom; VASP energy = -0.3339 hartree per atom; space-group type = No. 221
1.0
4.793 0.000 0.000
0.000 4.793 0.000
0.000 0.000 4.793
Hf Cr W
1 1 3
Cartesian
0.000 0.000 0.000
2.396 2.396 2.396
0.000 0.000 2.396
0.000 2.396 0.000
2.396 0.000 0.000

=====

[18]
PBE Hf3CrW, optimized geometry; excess energy over the best structure of this formula in the dataset = 0 meV per atom; VASP energy = -0.3476 hartree per atom; space-group type = No. 221
1.0
4.703 0.000 0.000
0.000 4.703 0.000
0.000 0.000 4.703
Hf Cr W
3 1 1
Cartesian
0.000 0.000 2.352
0.000 2.352 0.000
2.352 0.000 0.000
0.000 0.000 0.000
2.352 2.352 2.352

=====

[19]
PBE Hf3CrW, optimized geometry; excess energy over the best structure of this formula in the dataset = 152 meV per atom; VASP energy = -0.3420 hartree per atom; space-group type = No. 221
1.0
5.053 0.000 0.000
0.000 5.053 0.000
0.000 0.000 5.053
Hf Cr W
3 1 1
Cartesian
0.000 0.000 2.526
0.000 2.526 0.000
2.526 0.000 0.000
2.526 2.526 2.526
0.000 0.000 0.000

=====

[20]
PBE HfCrW3, optimized geometry; excess energy over the best structure of this formula in the dataset = 0 meV per atom; VASP energy = -0.3882 hartree per atom; space-group type = No. 221
1.0
4.535 0.000 0.000
0.000 4.535 0.000
0.000 0.000 4.535
Hf Cr W
1 1 3
Cartesian
0.000 0.000 0.000
2.267 2.267 2.267
0.000 2.267 2.267
2.267 0.000 2.267
2.267 2.267 0.000

=====

[21]
PBE Hf2Cr3W, optimized geometry; VASP energy = -0.3825 hartree per atom; space-group type = No. 166
1.0
2.546 1.470 4.217
-2.546 1.470 4.217
0.000 -2.940 4.217
Hf Cr W
2 3 1
Cartesian
0.000 0.000 1.566
0.000 0.000 11.085
-1.273 -0.735 4.217
-1.273 0.735 8.434
0.000 1.470 4.217
0.000 0.000 6.325

=====

[22]
PBE HfCr2W, optimized geometry; excess energy over the best structure of this formula in the dataset = 706 meV per atom; VASP energy = -0.3586 hartree per atom; space-group type = No. 122
1.0
6.927 0.000 0.000
0.000 6.927 0.000
0.000 0.000 5.455
Hf Cr W
4 8 4
Cartesian
0.000 0.000 0.000
0.000 3.463 1.364
3.463 0.000 4.091
3.463 3.463 2.727
1.553 1.732 3.409
1.732 5.017 4.773
1.732 5.373 2.046
1.910 1.732 0.682
5.017 5.195 0.682
5.195 1.553 2.046
5.195 1.910 4.773
5.373 5.195 3.409
0.000 0.000 2.727
0.000 3.463 4.091
3.463 0.000 1.364
3.463 3.463 0.000

=====

[23]
PBE YHfCr2, optimized geometry; excess energy over the best structure of this formula in the dataset = 480 meV per atom; VASP energy = -0.2963 hartree per atom; space-group type = No. 122
1.0
7.467 0.000 0.000
0.000 7.467 0.000
0.000 0.000 6.097
Y Hf Cr
4 4 8
Cartesian
0.000 0.000 0.000
0.000 3.734 1.524
3.734 0.000 4.572
3.734 3.734 3.048
0.000 0.000 3.048
0.000 3.734 4.572
3.734 0.000 1.524
3.734 3.734 0.000
1.746 5.601 3.810
1.867 1.746 2.286
1.867 1.987 5.335
1.987 5.601 0.762
5.480 1.867 0.762
5.601 5.480 5.335
5.601 5.721 2.286
5.721 1.867 3.810

=====

[24]
PBE YHf2Cr2, optimized geometry; VASP energy = -0.3256 hartree per atom; space-group type = No. 127
1.0
7.856 0.000 0.000
0.000 7.856 0.000
0.000 0.000 3.289
Y Hf Cr
2 4 4
Cartesian
0.000 0.000 0.000
3.928 3.928 0.000
1.179 2.749 1.645
2.749 6.677 1.645
5.106 1.179 1.645
6.677 5.106 1.645
1.077 5.004 0.000
2.851 1.077 0.000
5.004 6.779 0.000
6.779 2.851 0.000

=====

[25]
PBE Y2HfCr2, optimized geometry; excess energy over the best structure of this formula in the dataset = 175 meV per atom; VASP energy = -0.2853 hartree per atom; space-group type = No. 139
1.0
4.225 0.000 0.000
0.000 4.225 0.000
0.000 0.000 12.176
Y Hf Cr
4 2 4
Cartesian
0.000 2.113 3.044
0.000 2.113 9.132
2.113 0.000 3.044
2.113 0.000 9.132
0.000 0.000 0.000
2.113 2.113 6.088
0.000 0.000 5.161
0.000 0.000 7.016
2.113 2.113 0.927
2.113 2.113 11.249

=====

[26]
PBE Y3HfCr, optimized geometry; VASP energy = -0.2484 hartree per atom; space-group type = No. 221
1.0
5.553 0.000 0.000
0.000 5.553 0.000
0.000 0.000 5.553
Y Hf Cr
3 1 1
Cartesian
0.000 0.000 2.776
0.000 2.776 0.000
2.776 0.000 0.000
0.000 0.000 0.000
2.776 2.776 2.776

=====

[27]
PBE YHfCr2, optimized geometry; excess energy over the best structure of this formula in the dataset = 0 meV per atom; VASP energy = -0.3140 hartree per atom; space-group type = No. 225
1.0
6.738 0.000 0.000
0.000 6.738 0.000
0.000 0.000 6.738
Y Hf Cr
4 4 8
Cartesian
0.000 0.000 0.000
0.000 3.369 3.369
3.369 0.000 3.369
3.369 3.369 0.000
0.000 0.000 3.369
0.000 3.369 0.000
3.369 0.000 0.000
3.369 3.369 3.369
1.684 1.684 1.684
1.684 1.684 5.053
1.684 5.053 1.684
1.684 5.053 5.053
5.053 1.684 1.684
5.053 1.684 5.053
5.053 5.053 1.684
5.053 5.053 5.053

=====

| no. | DFT formation energy (eV/atom) | mass density (g/cm³) |
| --- | --- | --- |
| 1 | 0.723 | 10.4 |
| 2 | 0.160 | 10.9 |
| 3 | 0.365 | 8.4 |
| 4 | 0.098 | 9.4 |
| 5 | 0.330 | 8.4 |
| 6 | 0.161 | 10.8 |
| 7 | 0.140 | 9.5 |
| 8 | 0.134 | 8.1 |
| 9 | 0.285 | 8.5 |
| 10 | 0.639 | 10.3 |
| 11 | 0.838 | 8.0 |
| 12 | 0.182 | 9.9 |
| 13 | 0.967 | 7.7 |
| 14 | -0.049 | 11.3 |
| 15 | 0.082 | 13.0 |
| 16 | 0.073 | 12.9 |
| 17 | 2.602 | 11.8 |
| 18 | 1.029 | 12.3 |
| 19 | 1.181 | 9.9 |
| 20 | 1.123 | 13.9 |
| 21 | -0.121 | 12.2 |
| 22 | 0.779 | 11.8 |
| 23 | 0.853 | 7.3 |
| 24 | 0.264 | 9.0 |
| 25 | 0.663 | 7.0 |
| 26 | 1.035 | 4.8 |
| 27 | 0.373 | 8.1 |